(1)
First-principles (PBE) data for a relaxed structure of Pu2PaV, as listed in Alexandria via LeMat-Bulk.

a b c (Å): 3.4202 3.4202 7.0268
angles (deg): 90.00 90.00 90.00
With the nearest neighbours (Å) after each atom.
Positions (direct):
Pa 0.5000 0.5000 0.5000  8 Pu 3.09, 4 Pa 3.42
Pu 0.0000 0.0000 0.2252  4 V 2.89, 4 Pa 3.09, 1 Pu 3.16
V 0.5000 0.5000 0.0000  8 Pu 2.89
Pu 0.0000 0.0000 0.7748  4 V 2.89, 4 Pa 3.09, 1 Pu 3.16

Summary:
- Crystal system: tetragonal
- DOS(E_F): 2.55 states/eV per atom
- Calculated formation energy: 0.222 eV per atom
- ΔE to the lowest computed polymorph: 0.000 eV/f.u.

---

(2)
First-principles (PBE) data for a relaxed structure of U2NbTc5, as listed in Alexandria via LeMat-Bulk.

a b c (Å): 4.5453 5.5865 10.7714
angles (deg): 90.00 90.00 90.00
With the nearest neighbours (Å) after each atom.
Positions (direct):
U 0.5000 0.3539 0.3575  8 Tc 2.69-2.91
Tc 0.5000 0.1628 0.6077  4 U 2.69-2.91, 2 Nb 2.71, 3 Tc 2.95-3.01
Nb 0.0000 0.5000 0.0000  8 Tc 2.71-2.79
Tc 0.5000 0.6628 0.8923  4 U 2.69-2.91, 2 Nb 2.71, 3 Tc 2.95-3.01
U 0.5000 0.1461 0.8575  8 Tc 2.69-2.91
U 0.5000 0.8539 0.1425  8 Tc 2.69-2.91
U 0.5000 0.6461 0.6425  8 Tc 2.69-2.91
Tc 0.0000 0.1346 0.2575  1 Nb 2.72, 4 U 2.80-3.03, 5 Tc 2.80-3.01
Tc 0.0000 0.5000 0.5000  2 Nb 2.79, 4 U 2.86, 2 Tc 2.87
Tc 0.0000 0.3654 0.7575  1 Nb 2.72, 4 U 2.80-3.03, 5 Tc 2.80-3.01
Nb 0.0000 0.0000 0.5000  8 Tc 2.71-2.79
Tc 0.5000 0.8372 0.3923  4 U 2.69-2.91, 2 Nb 2.71, 3 Tc 2.95-3.01
Tc 0.0000 0.8654 0.7425  1 Nb 2.72, 4 U 2.80-3.03, 5 Tc 2.80-3.01
Tc 0.0000 0.0000 0.0000  2 Nb 2.79, 4 U 2.86, 2 Tc 2.87
Tc 0.5000 0.3372 0.1077  4 U 2.69-2.91, 2 Nb 2.71, 3 Tc 2.95-3.01
Tc 0.0000 0.6346 0.2425  1 Nb 2.72, 4 U 2.80-3.03, 5 Tc 2.80-3.01

Summary:
- Crystal system: orthorhombic
- DOS(E_F): 1.14 states/eV per atom
- Calculated formation energy: -0.089 eV per atom

---

(3)
First-principles (PBE) data for a relaxed structure of CePmCuOs, as listed in Alexandria via LeMat-Bulk.

a b c (Å): 4.9566 4.9566 4.9566
angles (deg): 60.00 60.00 60.00
With the nearest neighbours (Å) after each atom.
Positions (direct):
Ce 0.5000 0.5000 0.5000  4 Os 3.04, 4 Cu 3.04
Pm 0.0000 0.0000 0.0000  4 Cu 3.04, 4 Os 3.04
Cu 0.7500 0.7500 0.7500  4 Ce 3.04, 4 Pm 3.04
Os 0.2500 0.2500 0.2500  4 Pm 3.04, 4 Ce 3.04

Summary:
- Crystal system: cubic
- DOS(E_F): 1.58 states/eV per atom
- Calculated formation energy: -0.101 eV per atom

---

(4)
First-principles (PBE) data for a relaxed structure of Tc2PS, as listed in Alexandria via LeMat-Bulk.

a b c (Å): 5.4102 5.4102 6.2445
angles (deg): 64.33 64.33 90.00
With the nearest neighbours (Å) after each atom.
Positions (direct):
S 0.0000 0.0000 0.0000  4 Tc 2.26
Tc 0.3750 0.3708 0.7500  2 S 2.26, 2 P 2.29
Tc 0.1208 0.6250 0.2500  2 S 2.26, 2 P 2.29
P 0.5000 0.5000 0.0000  4 Tc 2.29
P 0.2500 0.7500 0.5000  4 Tc 2.29
Tc 0.6292 0.1250 0.2500  2 S 2.26, 2 P 2.29
Tc 0.8750 0.8792 0.7500  2 S 2.26, 2 P 2.29
S 0.7500 0.2500 0.5000  4 Tc 2.26

Summary:
- Formation energy without anion corrections: -0.09 eV per atom
- Crystal system: tetragonal
- DOS(E_F): 0.90 states/eV per atom
- ΔE to the lowest computed polymorph: 0.316 eV/f.u.

---

Calculated density (computed, Mg/m³): 15.56; 12.86; 10.39; 5.96